A geometry-optimized SrMg6MnO8 structure. Source: the Alexandria database, functional PBE with a Hubbard U.

Lattice parameters (Å, degrees): 4.508 4.508 8.803 90.00 90.00 90.00
Sites, in units of the cell vectors:
Sr1 0.000 0.000 0.000
Mg1 0.000 0.000 0.500
Mg2 0.000 0.500 0.264
Mg3 0.000 0.500 0.736
Mg4 0.500 0.000 0.264
Mg5 0.500 0.000 0.736
Mg6 0.500 0.500 0.500
Mn1 0.500 0.500 0.000
O1 0.000 0.000 0.274
O2 0.000 0.000 0.726
O3 0.000 0.500 0.000
O4 0.000 0.500 0.500
O5 0.500 0.000 0.000
O6 0.500 0.000 0.500
O7 0.500 0.500 0.260
O8 0.500 0.500 0.740

Properties
crystal system	tetragonal
total DFT energy (no corrections)	-96.907	eV per cell
total moment	5.000	μB/cell
excess energy over the best structure of this formula in the dataset	0.0	meV/atom